#1
This record from Alexandria describes crystalline RbSnAu4 at its relaxed geometry. The functional is GGA-PBE.

Cell lengths 5.789, 5.789, 5.789 Å; angles 60.00, 60.00, 60.00 degrees
Element x y z (fractional)
Rb1 0.000 0.000 0.000
Sn1 0.750 0.750 0.750
Au1 0.375 0.375 0.375
Au2 0.375 0.375 0.874
Au3 0.375 0.874 0.375
Au4 0.874 0.375 0.375

---

#2
This record from Alexandria describes crystalline RbSnAu4 at its relaxed geometry. The functional is GGA-PBE.

Cell lengths 6.345, 6.345, 8.793 Å; angles 107.75, 107.75, 63.24 degrees
Element x y z (fractional)
Rb1 0.206 0.206 0.322
Rb2 0.794 0.794 0.678
Sn1 0.467 0.467 0.729
Sn2 0.533 0.533 0.271
Au1 0.108 0.671 0.052
Au2 0.215 0.785 0.500
Au3 0.221 0.221 0.749
Au4 0.329 0.892 0.948
Au5 0.671 0.108 0.052
Au6 0.779 0.779 0.251
Au7 0.785 0.215 0.500
Au8 0.892 0.329 0.948

---

Relative energies, unit meV/atom: #1 85; #2 0

---

#1
This record from Alexandria describes crystalline RbSn4Au2 at its relaxed geometry. The functional is GGA-PBE.

Cell lengths 9.232, 9.232, 4.552 Å; angles 90.00, 90.00, 90.00 degrees
Element x y z (fractional)
Rb1 0.000 0.000 0.000
Rb2 0.500 0.500 0.500
Sn1 0.075 0.333 0.500
Sn2 0.167 0.575 0.000
Sn3 0.333 0.075 0.500
Sn4 0.425 0.833 0.000
Sn5 0.575 0.167 0.000
Sn6 0.667 0.925 0.500
Sn7 0.833 0.425 0.000
Sn8 0.925 0.667 0.500
Au1 0.218 0.782 0.500
Au2 0.282 0.282 0.000
Au3 0.718 0.718 0.000
Au4 0.782 0.218 0.500

---

#2
This record from Alexandria describes crystalline RbSn4Au2 at its relaxed geometry. The functional is GGA-PBE.

Cell lengths 20.514, 4.651, 8.246 Å; angles 90.00, 90.00, 90.00 degrees
Element x y z (fractional)
Rb1 0.122 0.250 0.014
Rb2 0.378 0.750 0.514
Rb3 0.622 0.250 0.486
Rb4 0.878 0.750 0.986
Sn1 0.028 0.750 0.756
Sn2 0.084 0.250 0.521
Sn3 0.193 0.750 0.316
Sn4 0.194 0.750 0.711
Sn5 0.306 0.250 0.211
Sn6 0.307 0.250 0.816
Sn7 0.416 0.750 0.021
Sn8 0.472 0.250 0.256
Sn9 0.528 0.750 0.744
Sn10 0.584 0.250 0.979
Sn11 0.693 0.750 0.184
Sn12 0.694 0.750 0.789
Sn13 0.806 0.250 0.289
Sn14 0.807 0.250 0.684
Sn15 0.916 0.750 0.479
Sn16 0.972 0.250 0.244
Au1 0.050 0.750 0.328
Au2 0.229 0.250 0.513
Au3 0.271 0.750 0.013
Au4 0.450 0.250 0.828
Au5 0.550 0.750 0.172
Au6 0.729 0.250 0.987
Au7 0.771 0.750 0.487
Au8 0.950 0.250 0.672

---

Relative energies, unit meV/atom: #1 9; #2 0

---

#1
This record from Alexandria describes crystalline RbSn4Au at its relaxed geometry. The functional is GGA-PBE.

Cell lengths 12.243, 12.243, 6.711 Å; angles 90.00, 90.00, 158.22 degrees
Element x y z (fractional)
Rb1 0.115 0.885 0.750
Rb2 0.885 0.115 0.250
Sn1 0.056 0.944 0.250
Sn2 0.286 0.714 0.018
Sn3 0.286 0.714 0.482
Sn4 0.500 0.500 0.000
Sn5 0.500 0.500 0.500
Sn6 0.714 0.286 0.518
Sn7 0.714 0.286 0.982
Sn8 0.944 0.056 0.750
Au1 0.375 0.625 0.750
Au2 0.625 0.375 0.250

---

#2
This record from Alexandria describes crystalline RbSn4Au at its relaxed geometry. The functional is GGA-PBE.

Cell lengths 6.935, 7.331, 8.353 Å; angles 74.17, 65.51, 89.80 degrees
Element x y z (fractional)
Rb1 0.028 0.251 0.499
Rb2 0.972 0.749 0.501
Sn1 0.093 0.626 0.074
Sn2 0.332 0.125 0.076
Sn3 0.389 0.549 0.687
Sn4 0.426 0.065 0.683
Sn5 0.574 0.935 0.317
Sn6 0.611 0.451 0.313
Sn7 0.668 0.875 0.924
Sn8 0.907 0.374 0.926
Au1 0.000 0.000 0.000
Au2 0.500 0.500 0.000

---

Relative energies, unit meV/atom: #1 0; #2 13

---

#1
This record from Alexandria describes crystalline RbTlSnAu2 at its relaxed geometry. The functional is GGA-PBE.

Cell lengths 5.378, 5.378, 6.207 Å; angles 90.00, 90.00, 90.00 degrees
Element x y z (fractional)
Rb1 0.000 0.000 0.000
Tl1 0.000 0.000 0.500
Sn1 0.500 0.500 0.000
Au1 0.000 0.500 0.500
Au2 0.500 0.000 0.500

---

#2
This record from Alexandria describes crystalline RbTlSnAu2 at its relaxed geometry. The functional is GGA-PBE.

Cell lengths 5.446, 5.446, 5.827 Å; angles 90.00, 90.00, 90.00 degrees
Element x y z (fractional)
Rb1 0.000 0.000 0.000
Tl1 0.500 0.500 0.000
Sn1 0.500 0.500 0.500
Au1 0.000 0.500 0.500
Au2 0.500 0.000 0.500

---

Relative energies, unit meV/atom: #1 533; #2 0